# 1
Density functional theory data (GGA-PBE) for crystalline GaIr2C at its relaxed geometry.

Cell: 5.6632 8.0692 4.8861 Å, 90.00 90.00 90.00°
With the nearest neighbours (Å) after each atom.
Space group Cmm2 (No. 35)
Symmetry-distinct sites (fractional):
1 Ga 0.2297 0.0000 0.0000  6 Ir 2.56-2.65, 1 Ga 2.60
2 Ir 0.0000 0.2668 0.8297  1 C 2.04
3 Ir 0.2500 0.2500 0.3311  2 C 2.07
4 C 0.0000 0.4117 0.4873  1 C 1.42

Calculated values
ΔH_f (0 K) (eV/atom): 0.1321
Offset from the most stable computed form (meV per atom): 83


# 2
Density functional theory data (GGA-PBE) for crystalline BC3 at its relaxed geometry.

Cell: 11.9630 2.5594 4.9678 Å, 90.00 102.00 90.00°
With the nearest neighbours (Å) after each atom.
Space group Cm (No. 8)
Symmetry-distinct sites (fractional):
1 B 0.0000 0.0000 0.0000  3 C 1.63-1.71, 1 B 1.81
2 B 0.0014 0.0000 0.4832  3 C 1.63-1.72
3 B 0.3905 0.5000 0.6867  2 C 1.57
4 C 0.0864 0.5000 0.0364  2 C 1.51, 2 B 1.63
5 C 0.0871 0.5000 0.5331  2 C 1.52, 2 B 1.63
6 C 0.1602 0.5000 0.8232  4 C 1.51-1.58
7 C 0.1623 0.5000 0.3208  4 C 1.51-1.57
8 C 0.2395 0.0000 0.8621  4 C 1.51-1.58
9 C 0.2405 0.0000 0.3610  4 C 1.51-1.57
10 C 0.3126 0.0000 0.6483  2 C 1.51, 2 B 1.57
11 C 0.3202 0.0000 0.1514  4 C 1.55-1.56
12 C 0.3957 0.5000 0.1896  2 C 1.56, 2 B 1.71-1.72

Calculated values
ΔH_f (0 K) (eV/atom): 0.2561
Offset from the most stable computed form (meV per atom): 15


# 3
Density functional theory data (GGA-PBE) for crystalline Zn6Cu2Ag at its relaxed geometry.

Cell: 4.3097 5.2941 12.3601 Å, 90.00 90.00 90.00°
With the nearest neighbours (Å) after each atom.
Space group Immm (No. 71)
Symmetry-distinct sites (fractional):
1 Zn 0.0000 0.2314 0.0000  3 Zn 2.45-2.47, 2 Ag 2.58
2 Zn 0.0000 0.2523 0.1997  5 Zn 2.47-2.67, 3 Cu 2.68-2.76
3 Cu 0.0000 0.5000 0.3889  10 Zn 2.68-2.83, 1 Cu 2.75, 2 Ag 2.98
4 Ag 0.0000 0.0000 0.5000  4 Zn 2.58

Calculated values
ΔH_f (0 K) (eV/atom): 0.1121
Offset from the most stable computed form (meV per atom): 106


# 4
Density functional theory data (GGA-PBE) for crystalline CdCo4Sb12 at its relaxed geometry.

Cell: 9.1680 9.1680 9.1680 Å, 90.00 90.00 90.00°
With the nearest neighbours (Å) after each atom.
Space group Im-3 (No. 204)
Symmetry-distinct sites (fractional):
1 Cd 0.0000 0.0000 0.0000  12 Sb 3.39
2 Co 0.2500 0.2500 0.2500  6 Sb 2.55
3 Sb 0.0000 0.3335 0.1599  2 Co 2.55

Calculated values
Raw formation energy (meV/atom): -152


# 5
Density functional theory data (GGA-PBE) for crystalline RbNa4Au at its relaxed geometry.

Cell: 20.7804 8.0468 6.4009 Å, 90.00 107.90 90.00°
With the nearest neighbours (Å) after each atom.
Space group C2/m (No. 12)
Symmetry-distinct sites (fractional):
1 Rb 0.2151 0.0000 0.2157  12 Na 4.34-4.56
2 Na 0.0000 0.2047 0.0000  2 Au 2.97, 1 Na 3.29
3 Na 0.0904 0.2490 0.5910  2 Au 3.05
4 Na 0.1254 0.5000 0.1249  2 Au 3.05
5 Au 0.0001 0.5000 0.2780  1 Au 2.84, 8 Na 2.97-3.05

Calculated values
ΔH_f (0 K) (eV/atom): -0.1015


# 6
Density functional theory data (GGA-PBE) for crystalline ScUMn5 at its relaxed geometry.

Cell: 7.8327 5.0280 10.2244 Å, 90.00 90.00 90.00°
With the nearest neighbours (Å) after each atom.
Space group Pnma (No. 62)
Symmetry-distinct sites (fractional):
1 Sc 0.2436 0.2500 0.0700  6 Mn 2.69-2.97
2 U 0.1503 0.2500 0.3823  1 Mn 2.15
3 Mn 0.0667 0.2500 0.5826  1 U 2.15
4 Mn 0.0766 0.7500 0.0238  5 Mn 2.36-2.56, 1 U 2.58
5 Mn 0.0783 0.5078 0.8034  7 Mn 2.40-2.60, 1 U 2.58
6 Mn 0.1767 0.7500 0.2416  7 Mn 2.36-2.62

Calculated values
ΔH_f (0 K) (eV/atom): 0.0070